Version w
Crystalline BeCoSO at its relaxed geometry, computed with PBE+U.

```
16
Lattice="5.771 0.000 0.000 0.000 6.432 0.000 0.000 0.000 5.521" Properties=species:S:1:pos:R:3 pbc="T T T"
Be 2.544 4.210 0.166
Be 3.227 2.222 2.926
Be 0.341 4.210 2.926
Be 5.430 2.222 0.166
S 5.225 2.407 3.595
S 3.432 2.407 0.834
S 2.339 4.025 3.595
S 0.546 4.025 0.834
Co 2.265 0.710 5.335
Co 0.620 0.710 2.575
Co 3.506 5.722 2.575
Co 5.151 5.722 5.335
O 0.395 0.862 0.565
O 2.490 0.862 3.325
O 3.281 5.570 0.565
O 5.375 5.570 3.325
```

SG ... Pca2_1

---

Version x
Crystalline BeCoSO at its relaxed geometry, computed with PBE+U.

```
8
Lattice="2.698 -2.698 0.000 2.698 2.698 0.000 0.000 0.000 7.230" Properties=species:S:1:pos:R:3 pbc="T T T"
Co 2.698 0.000 2.243
Co 0.000 0.000 4.987
O 0.000 0.000 6.770
O 2.698 0.000 0.460
S 1.349 1.349 3.615
S 1.349 -1.349 3.615
Be 0.000 0.000 0.975
Be 2.698 0.000 6.256
```

SG ... P4/nmm

---

So which one wins? Going from most stable to least: version w, version x.